Record 1
# PBE CaGaHg2, optimized geometry
# SG: No. 166
data_CaGaHg2
_symmetry_space_group_name_H-M 'P 1'
_symmetry_Int_Tables_number 1
_cell_length_a 4.7000
_cell_length_b 4.7000
_cell_length_c 15.8427
_cell_angle_alpha 90.00
_cell_angle_beta 90.00
_cell_angle_gamma 120.00
loop_
_symmetry_equiv_pos_as_xyz
'x,y,z'
loop_
_atom_site_label
_atom_site_type_symbol
_atom_site_fract_x
_atom_site_fract_y
_atom_site_fract_z
_atom_site_occupancy
Ca1 Ca 0.0000 0.0000 0.0000 1
Ca2 Ca 0.3333 0.6667 0.6667 1
Ca3 Ca 0.6667 0.3333 0.3333 1
Ga1 Ga 0.0000 0.0000 0.5000 1
Ga2 Ga 0.3333 0.6667 0.1667 1
Ga3 Ga 0.6667 0.3333 0.8333 1
Hg1 Hg 0.0000 0.0000 0.2293 1
Hg2 Hg 0.0000 0.0000 0.7707 1
Hg3 Hg 0.3333 0.6667 0.4374 1
Hg4 Hg 0.3333 0.6667 0.8959 1
Hg5 Hg 0.6667 0.3333 0.1041 1
Hg6 Hg 0.6667 0.3333 0.5626 1


Record 2
# PBE Ca2Ga3Hg, optimized geometry
# SG: No. 69
# Polymorph energy (0 for the lowest one): 0.0000 eV per atom
data_Ca2Ga3Hg
_symmetry_space_group_name_H-M 'P 1'
_symmetry_Int_Tables_number 1
_cell_length_a 9.1517
_cell_length_b 8.7915
_cell_length_c 5.9688
_cell_angle_alpha 73.87
_cell_angle_beta 67.34
_cell_angle_gamma 38.79
loop_
_symmetry_equiv_pos_as_xyz
'x,y,z'
loop_
_atom_site_label
_atom_site_type_symbol
_atom_site_fract_x
_atom_site_fract_y
_atom_site_fract_z
_atom_site_occupancy
Ca1 Ca 0.2426 0.7574 0.7574 1
Ca2 Ca 0.2500 0.2500 0.2500 1
Ca3 Ca 0.7500 0.7500 0.7500 1
Ca4 Ca 0.7574 0.2426 0.2426 1
Ga1 Ga 0.1771 0.6609 0.3391 1
Ga2 Ga 0.3387 0.3387 0.6613 1
Ga3 Ga 0.3391 0.8229 0.1771 1
Ga4 Ga 0.6609 0.1771 0.8229 1
Ga5 Ga 0.6613 0.6613 0.3387 1
Ga6 Ga 0.8229 0.3391 0.6609 1
Hg1 Hg 0.1675 0.1675 0.8325 1
Hg2 Hg 0.8325 0.8325 0.1675 1


no.,ΔE_f (eV per atom)
1,-0.31
2,-0.48